A plane-wave DFT calculation with PBE with a Hubbard U was carried out for a relaxed structure of ScFeF2.

Cell lengths 5.0025, 5.0025, 7.1503 Å; angles 69.52, 69.52, 90.00 degrees
Closest atoms and distances in Å follow each position.
Atoms (fractional coordinates):
F (0.3144, 0.6250, 0.2500)  2 Sc 2.02
F (0.8750, 0.6856, 0.7500)  2 Sc 2.02
F (0.4356, 0.1250, 0.2500)  2 Sc 2.02
Fe (0.7500, 0.2500, 0.5000)  4 F 2.97
Sc (0.2500, 0.7500, 0.5000)  4 F 2.02
Fe (0.0000, 0.0000, 0.0000)  4 F 2.97
Sc (0.5000, 0.5000, 0.0000)  4 F 2.02
F (0.3750, 0.5644, 0.7500)  2 Sc 2.02

Computed properties:
Energy above the lowest structure with this stoichiometry = 22.7 meV per atom